The following is a DFT calculation (PBE) of a relaxed Zr2TeH crystal.

VASP energy: -6.30 eV/atom
ΔE to the lowest computed polymorph: 23.8 kJ/mol of atoms

Lattice parameters (Å, degrees): 7.0542 7.0542 7.0542 29.03 29.03 29.03
Atoms (fractional coordinates):
Zr  0.2275  0.2275  0.2275
Zr  0.7725  0.7725  0.7725
Te  0.0000  0.0000  0.0000
H  0.5000  0.5000  0.5000

The following is a DFT calculation (PBE) of a relaxed Zr4Te3H crystal.

VASP energy: -6.49 eV/atom

Lattice parameters (Å, degrees): 10.1629 7.9226 5.2127 90.00 90.00 90.00
Atoms (fractional coordinates):
Zr  0.0000  0.0812  0.0000
Zr  0.0000  0.8578  0.4946
Zr  0.2311  0.1092  0.4929
Zr  0.2689  0.8908  0.9929
Zr  0.5000  0.1422  0.9946
Zr  0.5000  0.9188  0.5000
Zr  0.7311  0.8908  0.9929
Zr  0.7689  0.1092  0.4929
Te  0.0000  0.6987  0.9951
Te  0.2286  0.2918  0.9924
Te  0.2714  0.7082  0.4924
Te  0.5000  0.3013  0.4951
Te  0.7286  0.7082  0.4924
Te  0.7714  0.2918  0.9924
H  0.0000  0.1095  0.4305
H  0.5000  0.8905  0.9305

The following is a DFT calculation (PBE) of a relaxed Zr2TeH crystal.

VASP energy: -6.39 eV/atom
ΔE to the lowest computed polymorph: 15.6 kJ/mol of atoms

Lattice parameters (Å, degrees): 4.1792 4.1792 8.0145 90.00 90.00 90.00
Atoms (fractional coordinates):
Zr  0.2500  0.2500  0.1463
Zr  0.2500  0.7500  0.5000
Zr  0.7500  0.2500  0.5000
Zr  0.7500  0.7500  0.8537
Te  0.2500  0.2500  0.7826
Te  0.7500  0.7500  0.2174
H  0.2500  0.2500  0.4048
H  0.7500  0.7500  0.5952

The following is a DFT calculation (PBE) of a relaxed Zr4TeH crystal.

VASP energy: -7.07 eV/atom

Lattice parameters (Å, degrees): 7.7796 7.7796 6.1703 111.85 111.85 114.13
Atoms (fractional coordinates):
Zr  0.0407  0.6480  0.8515
Zr  0.1849  0.2774  0.8412
Zr  0.2774  0.1849  0.3412
Zr  0.3520  0.9593  0.6485
Zr  0.6480  0.0407  0.3515
Zr  0.7226  0.8151  0.6588
Zr  0.8151  0.7226  0.1588
Zr  0.9593  0.3520  0.1485
Te  0.3740  0.6260  0.7500
Te  0.6260  0.3740  0.2500
H  0.1352  0.8648  0.2500
H  0.8648  0.1352  0.7500

The following is a DFT calculation (PBE) of a relaxed Zr2TeH crystal.

VASP energy: -6.40 eV/atom
ΔE to the lowest computed polymorph: 14.0 kJ/mol of atoms

Lattice parameters (Å, degrees): 5.7217 5.7217 5.7217 108.04 108.04 112.37
Atoms (fractional coordinates):
Zr  0.0234  0.1250  0.3984
Zr  0.3750  0.9766  0.1016
Zr  0.7266  0.6250  0.6016
Zr  0.8750  0.2734  0.8984
Te  0.2500  0.7500  0.5000
Te  0.5000  0.5000  0.0000
H  0.0000  0.0000  0.0000
H  0.7500  0.2500  0.5000

The following is a DFT calculation (PBE) of a relaxed Zr4Te5H crystal.

VASP energy: -5.98 eV/atom

Lattice parameters (Å, degrees): 8.6926 8.6926 8.2869 103.26 103.26 25.38
Atoms (fractional coordinates):
Zr  0.0021  0.0021  0.2627
Zr  0.3757  0.3757  0.4372
Zr  0.6243  0.6243  0.5628
Zr  0.9979  0.9979  0.7373
Te  0.1700  0.1700  0.8319
Te  0.1750  0.1750  0.3386
Te  0.5000  0.5000  0.0000
Te  0.8250  0.8250  0.6614
Te  0.8300  0.8300  0.1681
H  0.5000  0.5000  0.5000

The following is a DFT calculation (PBE) of a relaxed Zr2TeH2 crystal.

VASP energy: -5.49 eV/atom
ΔE to the lowest computed polymorph: 23.0 kJ/mol of atoms

Lattice parameters (Å, degrees): 6.7116 6.7116 3.3235 90.00 90.00 90.00
Atoms (fractional coordinates):
Zr  0.1501  0.3499  0.0000
Zr  0.3499  0.8499  0.0000
Zr  0.6501  0.1501  0.0000
Zr  0.8499  0.6501  0.0000
Te  0.0000  0.0000  0.5000
Te  0.5000  0.5000  0.5000
H  0.0927  0.5927  0.5000
H  0.4073  0.0927  0.5000
H  0.5927  0.9073  0.5000
H  0.9073  0.4073  0.5000

The following is a DFT calculation (PBE) of a relaxed Zr3TeH crystal.

VASP energy: -6.84 eV/atom
ΔE to the lowest computed polymorph: 0.0 kJ/mol of atoms

Lattice parameters (Å, degrees): 4.4565 4.4565 4.4565 90.00 90.00 90.00
Atoms (fractional coordinates):
Zr  0.0000  0.0000  0.5000
Zr  0.0000  0.5000  0.0000
Zr  0.5000  0.0000  0.0000
Te  0.5000  0.5000  0.5000
H  0.0000  0.0000  0.0000

The following is a DFT calculation (PBE) of a relaxed ZrTeH2 crystal.

VASP energy: -4.23 eV/atom
ΔE to the lowest computed polymorph: 92.2 kJ/mol of atoms

Lattice parameters (Å, degrees): 4.2695 4.2695 4.2695 60.00 60.00 60.00
Atoms (fractional coordinates):
Zr  0.0000  0.0000  0.0000
Te  0.5000  0.5000  0.5000
H  0.2500  0.2500  0.2500
H  0.7500  0.7500  0.7500

The following is a DFT calculation (PBE) of a relaxed ZrTeH2 crystal.

VASP energy: -5.19 eV/atom
ΔE to the lowest computed polymorph: 0.0 kJ/mol of atoms

Lattice parameters (Å, degrees): 5.4570 5.4570 5.4570 38.56 38.56 38.56
Atoms (fractional coordinates):
Zr  0.0000  0.0000  0.0000
Te  0.8003  0.8003  0.8003
H  0.3173  0.3173  0.3173
H  0.6193  0.6193  0.6193

The following is a DFT calculation (PBE) of a relaxed Zr3Te2H crystal.

VASP energy: -6.62 eV/atom

Lattice parameters (Å, degrees): 9.6126 9.6126 9.6126 157.48 32.23 157.25
Atoms (fractional coordinates):
Zr  0.0000  0.0000  0.0000
Zr  0.4077  0.0048  0.4029
Zr  0.6019  0.0048  0.5971
Te  0.1696  0.0030  0.1666
Te  0.8364  0.0030  0.8334
H  0.2462  0.7462  0.5000

The following is a DFT calculation (PBE) of a relaxed Zr2TeH crystal.

VASP energy: -6.55 eV/atom
ΔE to the lowest computed polymorph: 0.0 kJ/mol of atoms

Lattice parameters (Å, degrees): 3.7562 10.8547 3.8058 90.00 90.00 90.00
Atoms (fractional coordinates):
Zr  0.0000  0.0804  0.0000
Zr  0.0000  0.7497  0.0037
Zr  0.5000  0.2503  0.5037
Zr  0.5000  0.9196  0.5000
Te  0.0000  0.3647  0.0029
Te  0.5000  0.6353  0.5029
H  0.0000  0.9144  0.7392
H  0.5000  0.0856  0.2392

The following is a DFT calculation (PBE) of a relaxed ZrTeH2 crystal.

VASP energy: -4.85 eV/atom
ΔE to the lowest computed polymorph: 32.7 kJ/mol of atoms

Lattice parameters (Å, degrees): 6.9998 6.9998 6.9998 143.65 143.65 52.35
Atoms (fractional coordinates):
Zr  0.3750  0.6250  0.7500
Zr  0.6250  0.3750  0.2500
Te  0.1250  0.8750  0.2500
Te  0.8750  0.1250  0.7500
H  0.0000  0.5000  0.5000
H  0.5000  0.0000  0.0000
H  0.5000  0.5000  0.0000
H  0.5000  0.5000  0.5000

The following is a DFT calculation (PBE) of a relaxed Zr2TeH crystal.

VASP energy: -5.93 eV/atom
ΔE to the lowest computed polymorph: 60.0 kJ/mol of atoms

Lattice parameters (Å, degrees): 4.7570 4.7570 4.7570 60.00 60.00 60.00
Atoms (fractional coordinates):
Zr  0.2500  0.2500  0.2500
Zr  0.7500  0.7500  0.7500
Te  0.0000  0.0000  0.0000
H  0.5000  0.5000  0.5000

The following is a DFT calculation (PBE) of a relaxed ThH5 crystal.

VASP energy: -4.08 eV/atom

Lattice parameters (Å, degrees): 4.1703 4.1703 3.6141 90.00 90.00 128.20
Atoms (fractional coordinates):
Th  0.0000  0.0000  0.0000
H  0.1842  0.8158  0.5000
H  0.3115  0.6885  0.0000
H  0.5000  0.5000  0.5000
H  0.6885  0.3115  0.0000
H  0.8158  0.1842  0.5000

The following is a DFT calculation (PBE) of a relaxed ThH4 crystal.

VASP energy: -3.96 eV/atom
ΔE to the lowest computed polymorph: 60.4 kJ/mol of atoms

Lattice parameters (Å, degrees): 4.2533 4.2533 4.2533 90.00 90.00 90.00
Atoms (fractional coordinates):
Th  0.0000  0.0000  0.0000
H  0.0000  0.0000  0.5000
H  0.0000  0.5000  0.0000
H  0.5000  0.0000  0.0000
H  0.5000  0.5000  0.5000

The following is a DFT calculation (PBE) of a relaxed ThH4 crystal.

VASP energy: -4.59 eV/atom
ΔE to the lowest computed polymorph: 0.0 kJ/mol of atoms

Lattice parameters (Å, degrees): 4.2820 4.2820 4.2820 52.02 52.02 52.02
Atoms (fractional coordinates):
Th  0.0000  0.0000  0.0000
H  0.2151  0.2151  0.2151
H  0.3994  0.3994  0.3994
H  0.6006  0.6006  0.6006
H  0.7849  0.7849  0.7849

The following is a DFT calculation (PBE) of a relaxed Th3H crystal.

VASP energy: -6.37 eV/atom

Lattice parameters (Å, degrees): 5.9965 5.9965 5.9965 146.84 69.62 120.74
Atoms (fractional coordinates):
Th  0.0000  0.0000  0.0000
Th  0.3155  0.4949  0.8206
Th  0.6743  0.4949  0.1794
H  0.3334  0.8334  0.5000

The following is a DFT calculation (PBE) of a relaxed ThTiH3 crystal.

VASP energy: -5.32 eV/atom

Lattice parameters (Å, degrees): 3.8295 3.8295 3.8295 90.00 90.00 90.00
Atoms (fractional coordinates):
Th  0.0000  0.0000  0.0000
Ti  0.5000  0.5000  0.5000
H  0.0000  0.5000  0.5000
H  0.5000  0.0000  0.5000
H  0.5000  0.5000  0.0000

The following is a DFT calculation (PBE) of a relaxed ThTiH2 crystal.

VASP energy: -5.67 eV/atom

Lattice parameters (Å, degrees): 6.1658 6.1658 6.1658 29.93 29.93 29.93
Atoms (fractional coordinates):
Th  0.0000  0.0000  0.0000
Ti  0.5000  0.5000  0.5000
H  0.2155  0.2155  0.2155
H  0.7845  0.7845  0.7845

The following is a DFT calculation (PBE) of a relaxed Th3TlH crystal.

VASP energy: -5.76 eV/atom

Lattice parameters (Å, degrees): 5.0012 5.0012 5.0012 90.00 90.00 90.00
Atoms (fractional coordinates):
Th  0.0000  0.0000  0.5000
Th  0.0000  0.5000  0.0000
Th  0.5000  0.0000  0.0000
Tl  0.5000  0.5000  0.5000
H  0.0000  0.0000  0.0000

The following is a DFT calculation (PBE) of a relaxed Th3TlH3 crystal.

VASP energy: -5.21 eV/atom
ΔE to the lowest computed polymorph: 0.0 kJ/mol of atoms

Lattice parameters (Å, degrees): 6.5317 6.5317 6.5317 90.00 90.00 90.00
Atoms (fractional coordinates):
Th  0.0000  0.2500  0.5000
Th  0.0000  0.7500  0.5000
Th  0.2500  0.5000  0.0000
Th  0.5000  0.0000  0.2500
Th  0.5000  0.0000  0.7500
Th  0.7500  0.5000  0.0000
Tl  0.0000  0.0000  0.0000
Tl  0.5000  0.5000  0.5000
H  0.0000  0.5000  0.2500
H  0.0000  0.5000  0.7500
H  0.2500  0.0000  0.5000
H  0.5000  0.2500  0.0000
H  0.5000  0.7500  0.0000
H  0.7500  0.0000  0.5000

The following is a DFT calculation (PBE) of a relaxed Th3TlH3 crystal.

VASP energy: -5.15 eV/atom
ΔE to the lowest computed polymorph: 6.3 kJ/mol of atoms

Lattice parameters (Å, degrees): 9.5140 9.5140 9.5140 38.05 38.05 38.05
Atoms (fractional coordinates):
Th  0.0672  0.3976  0.7316
Th  0.2684  0.9328  0.6024
Th  0.3976  0.7316  0.0672
Th  0.6024  0.2684  0.9328
Th  0.7316  0.0672  0.3976
Th  0.9328  0.6024  0.2684
Tl  0.1669  0.1669  0.1669
Tl  0.8331  0.8331  0.8331
H  0.0233  0.6880  0.3557
H  0.3120  0.6443  0.9767
H  0.3557  0.0233  0.6880
H  0.6443  0.9767  0.3120
H  0.6880  0.3557  0.0233
H  0.9767  0.3120  0.6443

The following is a DFT calculation (PBE) of a relaxed TmTh2H crystal.

VASP energy: -5.48 eV/atom
ΔE to the lowest computed polymorph: 8.1 kJ/mol of atoms

Lattice parameters (Å, degrees): 3.3833 3.3833 8.5715 90.00 90.00 90.00
Atoms (fractional coordinates):
Tm  0.0000  0.0000  0.0000
Th  0.5000  0.5000  0.3155
Th  0.5000  0.5000  0.6845
H  0.0000  0.0000  0.5000

The following is a DFT calculation (PBE) of a relaxed TmTh3H crystal.

VASP energy: -6.08 eV/atom

Lattice parameters (Å, degrees): 5.0726 5.0726 5.0726 90.00 90.00 90.00
Atoms (fractional coordinates):
Tm  0.0000  0.0000  0.0000
Th  0.0000  0.5000  0.5000
Th  0.5000  0.0000  0.5000
Th  0.5000  0.5000  0.0000
H  0.5000  0.5000  0.5000